(1)
A plane-wave DFT calculation with GGA+U was carried out for a geometry-optimized SrFeRhO6 structure.

Output
Symmetry = C2 (5)
DOS at the Fermi energy = 3.5 states/eV per cell

Cell: 5.149 5.149 5.374 Å, 89.36 90.64 61.57°
Each line ends with the local moment (μB).
Atoms (fractional coordinates):
Sr  0.995  0.995  0.000  0.01
Fe  0.666  0.666  0.500  -3.74
Rh  0.329  0.329  0.500  1.22
O  0.005  0.377  0.293  0.23
O  0.377  0.005  0.707  0.23
O  0.619  0.386  0.703  0.22
O  0.995  0.626  0.694  0.14
O  0.386  0.620  0.297  0.22
O  0.626  0.995  0.306  0.14

---

(2)
A plane-wave DFT calculation with GGA+U was carried out for a geometry-optimized Tb2FeRhO6 structure.

Output
Symmetry = P2_1/c (14)

Cell: 5.340 5.723 7.694 Å, 90.00 91.20 90.00°
Each line ends with the local moment (μB).
Atoms (fractional coordinates):
Tb  0.024  0.925  0.249  0.01
Tb  0.524  0.575  0.749  0.01
Tb  0.976  0.075  0.751  0.01
Tb  0.476  0.425  0.251  0.01
Fe  0.500  0.000  0.000  4.26
Fe  0.000  0.500  0.500  4.26
Rh  0.500  0.000  0.500  0.12
Rh  0.000  0.500  0.000  0.12
O  0.316  0.700  0.061  0.08
O  0.816  0.800  0.561  0.08
O  0.684  0.300  0.939  0.08
O  0.184  0.200  0.439  0.08
O  0.310  0.690  0.442  0.08
O  0.810  0.810  0.942  0.08
O  0.690  0.310  0.558  0.08
O  0.190  0.190  0.058  0.08
O  0.879  0.544  0.252  0.08
O  0.379  0.956  0.752  0.08
O  0.121  0.456  0.748  0.08
O  0.621  0.044  0.248  0.08

---

(3)
A plane-wave DFT calculation with GGA+U was carried out for a geometry-optimized TiFe2RhO6 structure.

Output
Symmetry = P1 (1)

Cell: 5.064 5.095 5.511 Å, 62.85 63.06 59.96°
Each line ends with the local moment (μB).
Atoms (fractional coordinates):
Ti  0.817  0.819  0.536  0.03
Fe  0.512  0.513  0.463  1.23
Fe  0.020  0.025  0.935  3.74
Rh  0.320  0.319  0.042  0.03
O  0.596  0.224  0.275  -0.01
O  0.222  0.908  0.266  0.00
O  0.909  0.595  0.272  -0.01
O  0.444  0.707  0.745  -0.01
O  0.714  0.106  0.743  0.00
O  0.108  0.445  0.740  -0.01

---

(4)
A plane-wave DFT calculation with GGA+U was carried out for a geometry-optimized YFe2RhO structure.

Output
Symmetry = P4/mmm (123)
DOS at the Fermi energy = 2.7 states/eV per cell

Cell: 4.919 3.912 4.919 Å, 90.00 90.00 90.00°
Each line ends with the local moment (μB).
Atoms (fractional coordinates):
Y  0.500  0.500  0.500  -0.39
Rh  0.000  0.000  0.000  0.44
Fe  0.000  0.000  0.500  3.21
Fe  0.500  0.000  0.000  3.19
O  0.000  0.500  0.000  0.31

---

| no. | total energy (eV per cell) | magnetization (μB per formula unit) |
| --- | --- | --- |
| 1 | -55.37 | 1.055 |
| 2 | -151.09 | 4.965 |
| 3 | -71.53 | 5.051 |
| 4 | -28.59 | 6.520 |